1.
LaUTiO6 (PBE-GGA, optimized geometry); formation energy from raw total energies = -3.271 eV/atom; density = 6476 kg/m3; spin magnetization = 0.12 μB per atom; N(E_F) = 0.923 states/eV/f.u.
1.0
5.5037 0.0000 0.0000
-2.7518 4.7663 0.0000
0.0000 0.0000 10.1817
La U Ti O
2 2 2 12
direct
0.0000 0.0000 0.0000 La
0.0000 0.0000 0.5000 La
0.3333 0.6667 0.2500 U
0.6667 0.3333 0.7500 U
0.3333 0.6667 0.7500 Ti
0.6667 0.3333 0.2500 Ti
0.0210 0.3733 0.6426 O
0.0210 0.6478 0.8574 O
0.3522 0.3733 0.8574 O
0.3522 0.9790 0.6426 O
0.3733 0.0210 0.1426 O
0.3733 0.3522 0.3574 O
0.6267 0.6478 0.6426 O
0.6267 0.9790 0.8574 O
0.6478 0.0210 0.3574 O
0.6478 0.6267 0.1426 O
0.9790 0.3522 0.1426 O
0.9790 0.6267 0.3574 O

***

2.
LaPm2Dy3 (PBE-GGA, optimized geometry); density = 7446 kg/m3; excess energy over the best structure of this formula in the dataset = 0.0 kJ/mol of atoms; spin magnetization = 0.00 μB per atom; N(E_F) = 9.539 states/eV/f.u.
1.0
11.6616 -1.7689 0.0000
11.6616 1.7689 0.0000
-3.3597 0.0000 9.9065
La Pm Dy
2 4 6
direct
0.1852 0.1852 0.0365 La
0.8148 0.8148 0.9635 La
0.1917 0.1917 0.3718 Pm
0.4338 0.4338 0.8565 Pm
0.5662 0.5662 0.1435 Pm
0.8083 0.8083 0.6282 Pm
0.0603 0.0603 0.4492 Dy
0.1956 0.1956 0.7158 Dy
0.4323 0.4323 0.2415 Dy
0.5677 0.5677 0.7585 Dy
0.8044 0.8044 0.2842 Dy
0.9397 0.9397 0.5508 Dy

***

3.
Ca2HfOs2 (PBE-GGA, optimized geometry); density = 9675 kg/m3; excess energy over the best structure of this formula in the dataset = 55.2 kJ/mol of atoms; spin magnetization = 0.36 μB per atom; N(E_F) = 2.217 states/eV/f.u.
1.0
-2.0216 2.0216 6.7100
2.0216 -2.0216 6.7100
2.0216 2.0216 -6.7100
Ca Hf Os
2 1 2
direct
0.2500 0.7500 0.5000 Ca
0.7500 0.2500 0.5000 Ca
0.0000 0.0000 0.0000 Hf
0.4128 0.4128 0.0000 Os
0.5872 0.5872 0.0000 Os

***

4.
CaCr2In (PBE-GGA, optimized geometry); density = 4854 kg/m3; spin magnetization = 0.00 μB per atom; N(E_F) = 3.594 states/eV/f.u.; VASP energy = -21.1 eV/cell
1.0
3.4898 0.0000 0.0000
0.0000 4.9405 0.0000
0.0000 0.0000 5.1363
Ca Cr In
1 2 1
direct
0.0000 0.0000 0.0000 Ca
0.5000 0.5000 0.1767 Cr
0.5000 0.5000 0.8233 Cr
0.5000 0.0000 0.5000 In

***

5.
CrInHIr2 (PBE-GGA, optimized geometry); density = 12697 kg/m3; spin magnetization = 0.29 μB per atom; N(E_F) = 3.878 states/eV/f.u.; VASP energy = -30.6 eV/cell
1.0
4.7934 0.0000 0.0000
0.0000 4.7934 0.0000
0.0000 0.0000 3.1435
Cr In H Ir
1 1 1 2
direct
0.0000 0.0000 0.0000 Cr
0.5000 0.5000 0.5000 In
0.0000 0.0000 0.5000 H
0.0000 0.5000 0.0000 Ir
0.5000 0.0000 0.0000 Ir

***

6.
KCuP4 (PBE-GGA, optimized geometry); density = 2469 kg/m3; spin magnetization = 0.00 μB per atom; VASP energy = -25.4 eV/cell
1.0
0.0000 4.2393 4.2393
4.2393 0.0000 4.2393
4.2393 4.2393 0.0000
K Cu P
1 1 4
direct
0.0000 0.0000 0.0000 K
0.2500 0.2500 0.2500 Cu
0.2233 0.5922 0.5922 P
0.5922 0.2233 0.5922 P
0.5922 0.5922 0.2233 P
0.5922 0.5922 0.5922 P